# BaSrOsPb2

A relaxed structure of BaSrOsPb2 (PBE-GGA, Alexandria).

Lattice parameters (Å, degrees): 5.472 5.472 5.760 90.00 90.00 90.00
Space group P4/mmm (No. 123)
Asymmetric unit:
Ba (0.000, 0.000, 0.000) x1
Sr (0.500, 0.500, 0.000) x1
Os (0.000, 0.000, 0.500) x1
Pb (0.000, 0.500, 0.500) x2

Formation energy: 258 meV/atom


# BaTe2OsPb

A relaxed structure of BaTe2OsPb (PBE-GGA, Alexandria).

Lattice parameters (Å, degrees): 6.331 6.331 6.634 90.00 90.00 90.00
Space group P4/mmm (No. 123)
Asymmetric unit:
Ba (0.000, 0.000, 0.000) x1
Te (0.000, 0.500, 0.000) x2
Os (0.500, 0.500, 0.500) x1
Pb (0.000, 0.000, 0.500) x1

Energy relative to the lowest polymorph listed for this composition: 1750 meV per atom


# BaTe2OsPb

A relaxed structure of BaTe2OsPb (PBE-GGA, Alexandria).

Lattice parameters (Å, degrees): 5.628 5.628 5.151 90.00 90.00 90.00
Space group P4/mmm (No. 123)
Asymmetric unit:
Ba (0.000, 0.000, 0.000) x1
Te (0.000, 0.500, 0.500) x2
Os (0.500, 0.500, 0.500) x1
Pb (0.500, 0.500, 0.000) x1

Energy relative to the lowest polymorph listed for this composition: 0 meV per atom